## BeTlSe2 (meta-GGA SCAN)

Data for a crystal of BeTlSe2 relaxed with PBEsol.

Summary:
DOS(E_F) ... 0.239 states/eV/atom
Symmetry ... R-3m, No. 166
Total magnetization ... 0.00 μB/f.u.
Total DFT energy (no corrections) ... -29.494 eV per atom
Raw formation energy ... -277 meV/atom

```
BeTlSe2
1.0
3.714 0.000 0.000
1.857 3.217 0.000
1.857 1.072 6.644
Se Tl Be
2 1 1
Direct
0.728 0.728 0.815
0.272 0.272 0.185
0.500 0.500 0.500
0.000 0.000 0.000
```